[1]
CaBeOs3: relaxed, PBE.

Results
E in eV per atom: -7.16
Magnetization in μB per formula unit: 1.4
Fermi-level density of states in states/eV per atom: 1.069
Volume in Å³/cell: 78
Offset from the most stable computed form in meV/atom: 0.0
Calculated formation energy in meV/atom: 727

Cell lengths 4.2740, 4.2740, 4.2740 Å; angles 90.00, 90.00, 90.00 degrees
Fractional coordinates of all 5 atoms:
Be: 0.0000 0.0000 0.0000
Ca: 0.5000 0.5000 0.5000
Os: 0.0000 0.5000 0.0000
Os: 0.0000 0.0000 0.5000
Os: 0.5000 0.0000 0.0000

---

[2]
CaBeOs2: relaxed, PBE.

Results
E in eV per atom: -6.43
Magnetization in μB per formula unit: 0.0
Fermi-level density of states in states/eV per atom: 1.035
Volume in Å³/cell: 61
Calculated formation energy in meV/atom: 613

Cell lengths 2.9188, 4.6334, 4.5418 Å; angles 90.00, 90.00, 90.00 degrees
Fractional coordinates of all 4 atoms:
Be: 0.5000 0.0000 0.5000
Ca: 0.0000 0.5000 0.5000
Os: 0.0000 0.0000 0.0000
Os: 0.5000 0.5000 0.0000

---

[3]
Ca2BeOs: relaxed, PBE.

Results
E in eV per atom: -4.58
Magnetization in μB per formula unit: 0.0
Fermi-level density of states in states/eV per atom: 0.563
Volume in Å³/cell: 90
Calculated formation energy in meV/atom: 157

Cell lengths 3.9563, 4.3712, 5.6704 Å; angles 67.27, 90.00, 90.00 degrees
Fractional coordinates of all 4 atoms:
Be: 0.5000 0.5806 0.7139
Ca: 0.0000 0.9829 0.9089
Ca: 0.5000 0.2649 0.3455
Os: 0.0000 0.6716 0.5317